*a*
Material: Ce2NdTl
Method: DFT, GGA-PBE
State: relaxed

The structure in extended XYZ format:
```
4
Lattice="0.0000 3.9225 3.9225 3.9225 0.0000 3.9225 3.9225 3.9225 0.0000" Properties=species:S:1:pos:R:3 pbc="T T T"
Ce 1.9613 1.9613 1.9613
Ce 5.8838 5.8838 5.8838
Nd 0.0000 0.0000 0.0000
Tl 3.9225 3.9225 3.9225
```

Computed properties:
Space group: Fm-3m, No. 225

*b*
Material: Ce2NdTl
Method: DFT, GGA-PBE
State: relaxed

The structure in extended XYZ format:
```
8
Lattice="4.6760 0.0000 0.0000 0.0000 4.3511 0.0000 -1.8262 0.0000 11.5452" Properties=species:S:1:pos:R:3 pbc="T T T"
Ce -0.7055 1.0878 4.5174
Ce 1.0912 3.2633 4.4592
Ce 1.7586 1.0878 7.0860
Ce 3.5554 3.2633 7.0278
Nd 1.2059 1.0878 1.2394
Nd 1.6440 3.2633 10.3058
Tl -0.6554 1.0878 9.5024
Tl 3.5052 3.2633 2.0428
```

Computed properties:
Space group: P2_1/m, No. 11

Which structure above is the least stable? It is *a*.